DFT (SCAN) results for Y2CoAu at its PBEsol-relaxed geometry.

Properties
- N(E_F) (states/eV/cell) = 6.38
- energy of formation (eV per atom) = -0.58
- size of the total moment (μB/cell) = 1.27
- V (Å³ per cell) = 168

a b c (Å): 4.2829 3.8014 10.3075
angles (deg): 90.00 90.00 90.00
Closest atoms and distances in Å follow each position.
Sites, in units of the cell vectors:
1 Y 0.0000 0.0000 0.0000  3 Au 2.91-2.95, 4 Co 2.93
2 Y 0.0000 0.5000 0.5000  3 Au 2.91-2.95, 4 Co 2.93
3 Y 0.5000 0.0000 0.2872  3 Co 2.81-3.02, 4 Au 2.96
4 Y 0.5000 0.5000 0.7872  3 Co 2.81-3.02, 4 Au 2.96
5 Co 0.5000 0.0000 0.5598  2 Au 2.67, 5 Y 2.81-2.93
6 Co 0.5000 0.5000 0.0598  2 Au 2.67, 5 Y 2.81-2.93
7 Au 0.0000 0.0000 0.7141  2 Co 2.67, 7 Y 2.91-2.96
8 Au 0.0000 0.5000 0.2141  2 Co 2.67, 7 Y 2.91-2.96